No. 1
LaAg2Hg | PBE-GGA | optimized geometry

## Properties
ρ   9.50 g cm⁻³
Space group   R-3m
Formation energy   0.061 eV per atom
DOS at the Fermi energy   2.40 states/eV per cell

a b c (Å): 10.3010 10.3010 10.3010
angles (deg): 18.59 18.59 18.59
With the nearest neighbours (Å) after each atom.
Positions (direct):
Hg: 0.2500 0.2500 0.2500  6 Ag 3.05, 6 Hg 3.33
Ag: 0.5051 0.5051 0.5051  3 Hg 3.05, 3 La 3.30, 6 Ag 3.33
La: 0.7500 0.7500 0.7500  6 Ag 3.30, 6 La 3.33
Ag: 0.9949 0.9949 0.9949  3 Hg 3.05, 3 La 3.30, 6 Ag 3.33

***

No. 2
NdDyCuAg | PBE-GGA | optimized geometry

## Properties
E above lowest polymorph   0 meV per atom
ρ   8.42 g cm⁻³
Space group   P4mm
Formation energy   -0.244 eV per atom
DOS at the Fermi energy   2.24 states/eV per cell

a b c (Å): 3.5883 3.5883 7.3273
angles (deg): 90.00 90.00 90.00
With the nearest neighbours (Å) after each atom.
Positions (direct):
Nd: 0.0000 0.0000 0.8436  4 Cu 3.15, 4 Ag 3.27, 1 Dy 3.47
Ag: 0.5000 0.5000 0.1258  4 Dy 3.11, 4 Nd 3.27, 1 Cu 3.39
Cu: 0.5000 0.5000 0.5878  4 Dy 2.99, 4 Nd 3.15
Dy: 0.0000 0.0000 0.3707  4 Cu 2.99, 4 Ag 3.11

***

No. 3
Ca2CrTe | PBE-GGA | optimized geometry

## Properties
Energy relative to the elements, uncorrected   -0.1872 eV/atom
ρ   3.27 g cm⁻³
Space group   C2/m
DOS at the Fermi energy   3.00 states/eV per cell

a b c (Å): 4.4095 4.4095 8.2479
angles (deg): 74.57 74.57 59.89
With the nearest neighbours (Å) after each atom.
Positions (direct):
Cr: 0.7500 0.7500 0.7500  6 Ca 3.27
Ca: 0.5042 0.5042 0.4879  3 Te 3.16, 3 Cr 3.27
Te: 0.2500 0.2500 0.2500  6 Ca 3.16
Ca: 0.9958 0.9958 0.0121  3 Te 3.16, 3 Cr 3.27

***

- Among the records above, which one has the highest DOS at the Fermi energy?
  Ca2CrTe

***

- Which formula does entry 1 have?
  LaAg2Hg